Density functional theory data (PBE) for KTa2Os after structural relaxation.

- total DFT energy (no corrections) (Ry per atom) = -0.596
- crystal system = monoclinic
- E_form (eV per atom) = 0.89
- space-group type = C2/m (12)

Cell and atoms, written as CIF:
```
data_KTa2Os
_chemical_formula_sum 'K2 Ta4 Os2'
_cell_length_a 10.349
_cell_length_b 3.100
_cell_length_c 6.098
_cell_angle_alpha 90.00
_cell_angle_beta 104.67
_cell_angle_gamma 90.00
_space_group_name_H-M_alt 'P 1'
_space_group_IT_number 1
loop_
_space_group_symop_operation_xyz
'x,y,z'
loop_
_atom_site_label
_atom_site_fract_x
_atom_site_fract_y
_atom_site_fract_z
K1 0.000 0.000 0.000
K2 0.500 0.500 0.000
Ta1 0.200 0.000 0.645
Ta2 0.300 0.500 0.355
Ta3 0.700 0.500 0.645
Ta4 0.800 0.000 0.355
Os1 0.000 0.500 0.500
Os2 0.500 0.000 0.500
```